# 1
Density functional theory data (PBE) for AcZnRhN after structural relaxation.

Unit cell a=3.9857 b=3.9857 c=9.2322 alpha=90.00 beta=90.00 gamma=90.00
Element x y z (fractional)
1 Rh 0.0000 0.0000 0.5000
2 Rh 0.5000 0.5000 0.5000
3 N 0.0000 0.5000 0.1175
4 N 0.5000 0.0000 0.8825
5 Ac 0.5000 0.0000 0.1519
6 Ac 0.0000 0.5000 0.8481
7 Zn 0.0000 0.5000 0.3312
8 Zn 0.5000 0.0000 0.6688

Total magnetization in μB per formula unit: 0.000
E_form (uncorrected) in eV per atom: -0.62

# 2
Density functional theory data (PBE) for Li2Pr5Tl5 after structural relaxation.

Unit cell a=5.5019 b=5.6378 c=13.9048 alpha=110.99 beta=90.00 gamma=119.21
Element x y z (fractional)
1 Pr 0.3333 0.6667 0.9874
2 Pr 0.7263 0.4527 0.3050
3 Pr 0.5000 0.0000 0.5000
4 Pr 0.2737 0.5473 0.6950
5 Pr 0.6667 0.3333 0.0126
6 Tl 0.1223 0.2447 0.4209
7 Tl 0.3455 0.6910 0.2236
8 Tl 0.8777 0.7553 0.5791
9 Tl 0.6545 0.3090 0.7764
10 Tl 0.0000 0.0000 0.0000
11 Li 0.0012 0.0023 0.8022
12 Li 0.9988 0.9977 0.1978

Total magnetization in μB per formula unit: 0.001
Energy of formation in eV/atom: -0.233

# 3
Density functional theory data (PBE) for La2CeDy3P6 after structural relaxation.

Unit cell a=4.1127 b=8.2219 c=9.1795 alpha=102.81 beta=102.94 gamma=90.00
Element x y z (fractional)
1 P 0.6662 0.0735 0.3324
2 P 0.3368 0.4082 0.6735
3 P 0.9966 0.2488 0.9932
4 P 0.3338 0.9265 0.6676
5 P 0.6632 0.5918 0.3265
6 P 0.0034 0.7512 0.0068
7 Dy 0.1672 0.8338 0.3344
8 Dy 0.8328 0.1662 0.6656
9 Dy 0.5000 0.5000 0.0000
10 La 0.8336 0.6662 0.6671
11 La 0.1664 0.3338 0.3329
12 Ce 0.5000 0.0000 0.0000

Total magnetization in μB per formula unit: 0.490
Energy of formation in eV/atom: -1.574

# 4
Density functional theory data (PBE) for YThMo4 after structural relaxation.

Unit cell a=5.5678 b=5.5678 c=5.5678 alpha=60.00 beta=60.00 gamma=60.00
Element x y z (fractional)
1 Mo 0.1258 0.6247 0.6247
2 Mo 0.6247 0.6247 0.6247
3 Mo 0.6247 0.6247 0.1258
4 Mo 0.6247 0.1258 0.6247
5 Y 0.0000 0.0000 0.0000
6 Th 0.2500 0.2500 0.2500

Total magnetization in μB per formula unit: 0.000
Energy of formation in eV/atom: 0.089